A plane-wave DFT calculation with PBE was carried out for a relaxed structure of YGaNi5.

a = 7.8879 Å, b = 4.8254 Å, c = 9.9749 Å
α = 90.00°, β = 90.00°, γ = 90.00°
Closest atoms and distances in Å follow each position.
Fractional coordinates of all 28 atoms:
Y: 0.2461 0.2500 0.0595  8 Ni 2.75-3.08
Y: 0.2539 0.7500 0.5595  8 Ni 2.75-3.08
Y: 0.7461 0.2500 0.4405  8 Ni 2.75-3.08
Y: 0.7539 0.7500 0.9405  8 Ni 2.75-3.08
Ga: 0.1429 0.7500 0.8586  8 Ni 2.45-2.66
Ga: 0.3571 0.2500 0.3586  8 Ni 2.45-2.66
Ga: 0.6429 0.7500 0.6414  8 Ni 2.45-2.66
Ga: 0.8571 0.2500 0.1414  8 Ni 2.45-2.66
Ni: 0.0539 0.7500 0.0935  1 Ga 2.45, 4 Ni 2.45-2.58
Ni: 0.0658 0.0048 0.3060  7 Ni 2.37-2.49, 2 Ga 2.61-2.64
Ni: 0.0658 0.4952 0.3060  7 Ni 2.37-2.49, 2 Ga 2.61-2.64
Ni: 0.0943 0.2500 0.5171  5 Ni 2.43-2.49, 1 Ga 2.61
Ni: 0.1860 0.2500 0.7509  7 Ni 2.38-2.58
Ni: 0.3140 0.7500 0.2509  7 Ni 2.38-2.58
Ni: 0.4057 0.7500 0.0171  5 Ni 2.43-2.49, 1 Ga 2.61
Ni: 0.4342 0.5048 0.8060  7 Ni 2.37-2.49, 2 Ga 2.61-2.64
Ni: 0.4342 0.9952 0.8060  7 Ni 2.37-2.49, 2 Ga 2.61-2.64
Ni: 0.4461 0.2500 0.5935  1 Ga 2.45, 4 Ni 2.45-2.58
Ni: 0.5539 0.7500 0.4065  1 Ga 2.45, 4 Ni 2.45-2.58
Ni: 0.5658 0.0048 0.1940  7 Ni 2.37-2.49, 2 Ga 2.61-2.64
Ni: 0.5658 0.4952 0.1940  7 Ni 2.37-2.49, 2 Ga 2.61-2.64
Ni: 0.5943 0.2500 0.9829  5 Ni 2.43-2.49, 1 Ga 2.61
Ni: 0.6860 0.2500 0.7491  7 Ni 2.38-2.58
Ni: 0.8140 0.7500 0.2491  7 Ni 2.38-2.58
Ni: 0.9057 0.7500 0.4829  5 Ni 2.43-2.49, 1 Ga 2.61
Ni: 0.9342 0.5048 0.6940  7 Ni 2.37-2.49, 2 Ga 2.61-2.64
Ni: 0.9342 0.9952 0.6940  7 Ni 2.37-2.49, 2 Ga 2.61-2.64
Ni: 0.9461 0.2500 0.9065  1 Ga 2.45, 4 Ni 2.45-2.58

Calculated values
The total energy is -5.87 eV/atom. The calculation puts the formation energy at -388 meV/atom. Its space-group type is No. 62. The value obtained for the density is 7.91 g/cm³.